Entry 1:
{"formula": "Tb3Dy2Al2", "functional": "GGA-PBE", "state": "relaxed", "cell": [[-3.458, -0.766, -0.035], [0.445, -1.872, -2.973], [1.183, -13.832, 6.781]], "species": ["Tb", "Tb", "Tb", "Dy", "Dy", "Al", "Al"], "fractional_positions": [[0.875, 0.875, 0.250], [0.000, 0.000, 0.000], [0.125, 0.125, 0.750], [0.710, 0.710, 0.581], [0.290, 0.290, 0.419], [0.563, 0.563, 0.874], [0.437, 0.437, 0.126]], "sg": "I4/mmm, No. 139", "delta_e_f_mev_per_atom": -215.2, "relative_energy_kj_per_mol_fu": 0}

Entry 2:
{"formula": "ScGaBr", "functional": "GGA-PBE", "state": "relaxed", "cell": [[-2.516, 3.062, 0.399], [-3.930, -0.610, -0.221], [-2.425, -0.867, 10.803]], "species": ["Sc", "Sc", "Ga", "Ga", "Br", "Br"], "fractional_positions": [[0.059, 0.557, 0.320], [0.941, 0.443, 0.680], [0.345, 0.845, 0.464], [0.655, 0.155, 0.536], [0.224, 0.728, 0.831], [0.776, 0.272, 0.169]], "sg": "P-1, No. 2", "formation_energy_uncorrected_kj_per_mol_fu": -306}

| no. | E_tot (eV per atom) |
| --- | --- |
| 1 | -4.584 |
| 2 | -4.734 |